Entry 1:
# Al2IrS, optimized geometry, DFT GGA-PBE
# Electronic total energy: -5.782 eV per atom
# Symmetry: Cmcm (63)
# Crystal system: orthorhombic
data_Al2IrS
_chemical_formula_sum 'Al8 Ir4 S4'
_space_group_name_H-M_alt 'P 1'
_space_group_IT_number 1
_cell_length_a 2.954
_cell_length_b 18.728
_cell_length_c 4.405
_cell_angle_alpha 90.00
_cell_angle_beta 90.00
_cell_angle_gamma 90.00
loop_
_space_group_symop_operation_xyz
'x,y,z'
loop_
_atom_site_label
_atom_site_type_symbol
_atom_site_fract_x
_atom_site_fract_y
_atom_site_fract_z
S1 S 0.000 0.216 0.250
S2 S 0.000 0.784 0.750
S3 S 0.500 0.716 0.250
S4 S 0.500 0.284 0.750
Ir1 Ir 0.000 0.441 0.250
Ir2 Ir 0.000 0.559 0.750
Ir3 Ir 0.500 0.941 0.250
Ir4 Ir 0.500 0.059 0.750
Al1 Al 0.000 0.059 0.250
Al2 Al 0.000 0.941 0.750
Al3 Al 0.500 0.559 0.250
Al4 Al 0.500 0.441 0.750
Al5 Al 0.000 0.829 0.250
Al6 Al 0.000 0.171 0.750
Al7 Al 0.500 0.329 0.250
Al8 Al 0.500 0.671 0.750

=====

Entry 2:
# AlIrS, optimized geometry, DFT GGA-PBE
# Electronic total energy: -5.735 eV per atom
# Symmetry: Amm2 (38)
# Crystal system: orthorhombic
data_AlIrS
_chemical_formula_sum 'Al2 Ir2 S2'
_space_group_name_H-M_alt 'P 1'
_space_group_IT_number 1
_cell_length_a 3.004
_cell_length_b 3.640
_cell_length_c 9.913
_cell_angle_alpha 90.00
_cell_angle_beta 90.00
_cell_angle_gamma 114.37
loop_
_space_group_symop_operation_xyz
'x,y,z'
loop_
_atom_site_label
_atom_site_type_symbol
_atom_site_fract_x
_atom_site_fract_y
_atom_site_fract_z
Ir1 Ir 0.456 0.912 0.000
Ir2 Ir 0.457 0.914 0.500
S1 S 0.722 0.443 0.349
S2 S 0.722 0.443 0.651
Al1 Al 0.155 0.310 0.845
Al2 Al 0.155 0.310 0.155

=====

Entry 3:
# Al2IrS, optimized geometry, DFT GGA-PBE
# Electronic total energy: -5.789 eV per atom
# Symmetry: Pm (6)
# Crystal system: monoclinic
data_Al2IrS
_chemical_formula_sum 'Al4 Ir2 S2'
_space_group_name_H-M_alt 'P 1'
_space_group_IT_number 1
_cell_length_a 6.053
_cell_length_b 3.251
_cell_length_c 7.036
_cell_angle_alpha 90.00
_cell_angle_beta 104.01
_cell_angle_gamma 90.00
loop_
_space_group_symop_operation_xyz
'x,y,z'
loop_
_atom_site_label
_atom_site_type_symbol
_atom_site_fract_x
_atom_site_fract_y
_atom_site_fract_z
S1 S 0.465 0.500 0.270
S2 S 0.998 0.500 0.326
Ir1 Ir 0.384 0.000 0.821
Ir2 Ir 0.868 0.000 0.834
Al1 Al 0.075 0.500 0.662
Al2 Al 0.572 0.500 0.627
Al3 Al 0.694 0.500 0.045
Al4 Al 0.175 0.000 0.154

=====

Entry 4:
# Al2IrS, optimized geometry, DFT GGA-PBE
# Electronic total energy: -5.759 eV per atom
# Symmetry: Amm2 (38)
# Crystal system: orthorhombic
data_Al2IrS
_chemical_formula_sum 'Al4 Ir2 S2'
_space_group_name_H-M_alt 'P 1'
_space_group_IT_number 1
_cell_length_a 2.985
_cell_length_b 3.098
_cell_length_c 14.123
_cell_angle_alpha 90.00
_cell_angle_beta 90.00
_cell_angle_gamma 90.00
loop_
_space_group_symop_operation_xyz
'x,y,z'
loop_
_atom_site_label
_atom_site_type_symbol
_atom_site_fract_x
_atom_site_fract_y
_atom_site_fract_z
S1 S 0.500 0.000 0.069
S2 S 0.500 0.500 0.569
Ir1 Ir 0.000 0.000 0.832
Ir2 Ir 0.000 0.500 0.332
Al1 Al 0.500 0.000 0.446
Al2 Al 0.500 0.500 0.946
Al3 Al 0.500 0.000 0.231
Al4 Al 0.500 0.500 0.731

=====

Entry 5:
# Al3IrS, optimized geometry, DFT GGA-PBE
# Excess energy over the best structure of this formula in the dataset: 0 meV per atom
# Symmetry: Pm-3m (221)
# Crystal system: cubic
data_Al3IrS
_chemical_formula_sum 'Al3 Ir1 S1'
_space_group_name_H-M_alt 'P 1'
_space_group_IT_number 1
_cell_length_a 4.742
_cell_length_b 4.742
_cell_length_c 4.742
_cell_angle_alpha 90.00
_cell_angle_beta 90.00
_cell_angle_gamma 90.00
loop_
_space_group_symop_operation_xyz
'x,y,z'
loop_
_atom_site_label
_atom_site_type_symbol
_atom_site_fract_x
_atom_site_fract_y
_atom_site_fract_z
S1 S 0.500 0.500 0.500
Ir1 Ir 0.000 0.000 0.000
Al1 Al 0.000 0.500 0.000
Al2 Al 0.000 0.000 0.500
Al3 Al 0.500 0.000 0.000

=====

Entry 6:
# Al2IrS, optimized geometry, DFT GGA-PBE
# Electronic total energy: -5.371 eV per atom
# Symmetry: I-42d (122)
# Crystal system: tetragonal
data_Al2IrS
_chemical_formula_sum 'Al4 Ir2 S2'
_space_group_name_H-M_alt 'P 1'
_space_group_IT_number 1
_cell_length_a 5.818
_cell_length_b 5.818
_cell_length_c 6.404
_cell_angle_alpha 62.98
_cell_angle_beta 62.98
_cell_angle_gamma 90.00
loop_
_space_group_symop_operation_xyz
'x,y,z'
loop_
_atom_site_label
_atom_site_type_symbol
_atom_site_fract_x
_atom_site_fract_y
_atom_site_fract_z
S1 S 0.500 0.500 0.000
S2 S 0.250 0.750 0.500
Ir1 Ir 0.000 0.000 0.000
Ir2 Ir 0.750 0.250 0.500
Al1 Al 0.625 0.125 0.250
Al2 Al 0.125 0.625 0.250
Al3 Al 0.375 0.375 0.750
Al4 Al 0.875 0.875 0.750

=====

Entry 7:
# Al2IrS, optimized geometry, DFT GGA-PBE
# Electronic total energy: -5.820 eV per atom
# Symmetry: P1 (1)
# Crystal system: triclinic
data_Al2IrS
_chemical_formula_sum 'Al4 Ir2 S2'
_space_group_name_H-M_alt 'P 1'
_space_group_IT_number 1
_cell_length_a 3.411
_cell_length_b 5.867
_cell_length_c 6.820
_cell_angle_alpha 99.46
_cell_angle_beta 92.45
_cell_angle_gamma 90.07
loop_
_space_group_symop_operation_xyz
'x,y,z'
loop_
_atom_site_label
_atom_site_type_symbol
_atom_site_fract_x
_atom_site_fract_y
_atom_site_fract_z
S1 S 0.398 0.311 0.694
S2 S 0.003 0.824 0.697
Ir1 Ir 0.601 0.473 0.174
Ir2 Ir 0.593 0.995 0.178
Al1 Al 0.119 0.273 0.368
Al2 Al 0.102 0.762 0.336
Al3 Al 0.515 0.679 0.873
Al4 Al 0.054 0.176 0.941

=====

Entry 8:
# Al2IrS, optimized geometry, DFT GGA-PBE
# Electronic total energy: -5.766 eV per atom
# Symmetry: P1 (1)
# Crystal system: triclinic
data_Al2IrS
_chemical_formula_sum 'Al4 Ir2 S2'
_space_group_name_H-M_alt 'P 1'
_space_group_IT_number 1
_cell_length_a 3.248
_cell_length_b 4.185
_cell_length_c 9.682
_cell_angle_alpha 84.17
_cell_angle_beta 88.95
_cell_angle_gamma 88.11
loop_
_space_group_symop_operation_xyz
'x,y,z'
loop_
_atom_site_label
_atom_site_type_symbol
_atom_site_fract_x
_atom_site_fract_y
_atom_site_fract_z
S1 S 0.612 0.453 0.396
S2 S 0.344 0.997 0.174
Ir1 Ir 0.118 0.332 0.965
Ir2 Ir 0.127 0.861 0.737
Al1 Al 0.629 0.359 0.754
Al2 Al 0.635 0.914 0.541
Al3 Al 0.083 0.502 0.216
Al4 Al 0.618 0.817 0.956

=====

Entry 9:
# AlIr2S, optimized geometry, DFT GGA-PBE
# Excess energy over the best structure of this formula in the dataset: 0 meV per atom
# Symmetry: I-42d (122)
# Crystal system: tetragonal
data_AlIr2S
_chemical_formula_sum 'Al2 Ir4 S2'
_space_group_name_H-M_alt 'P 1'
_space_group_IT_number 1
_cell_length_a 5.241
_cell_length_b 5.241
_cell_length_c 6.792
_cell_angle_alpha 67.30
_cell_angle_beta 67.30
_cell_angle_gamma 90.00
loop_
_space_group_symop_operation_xyz
'x,y,z'
loop_
_atom_site_label
_atom_site_type_symbol
_atom_site_fract_x
_atom_site_fract_y
_atom_site_fract_z
S1 S 0.000 0.000 0.000
S2 S 0.750 0.250 0.500
Ir1 Ir 0.663 0.125 0.250
Ir2 Ir 0.087 0.625 0.250
Ir3 Ir 0.375 0.337 0.750
Ir4 Ir 0.875 0.913 0.750
Al1 Al 0.500 0.500 0.000
Al2 Al 0.250 0.750 0.500

=====

Entry 10:
# Al2IrS, optimized geometry, DFT GGA-PBE
# Electronic total energy: -5.798 eV per atom
# Symmetry: C2/m (12)
# Crystal system: monoclinic
data_Al2IrS
_chemical_formula_sum 'Al8 Ir4 S4'
_space_group_name_H-M_alt 'P 1'
_space_group_IT_number 1
_cell_length_a 5.729
_cell_length_b 4.039
_cell_length_c 12.299
_cell_angle_alpha 90.00
_cell_angle_beta 93.36
_cell_angle_gamma 90.00
loop_
_space_group_symop_operation_xyz
'x,y,z'
loop_
_atom_site_label
_atom_site_type_symbol
_atom_site_fract_x
_atom_site_fract_y
_atom_site_fract_z
S1 S 0.242 0.000 0.763
S2 S 0.758 0.000 0.237
S3 S 0.242 0.500 0.263
S4 S 0.758 0.500 0.737
Ir1 Ir 0.246 0.000 0.975
Ir2 Ir 0.754 0.000 0.025
Ir3 Ir 0.246 0.500 0.475
Ir4 Ir 0.754 0.500 0.525
Al1 Al 0.000 0.500 0.000
Al2 Al 0.000 0.000 0.500
Al3 Al 0.142 0.000 0.164
Al4 Al 0.858 0.000 0.836
Al5 Al 0.142 0.500 0.664
Al6 Al 0.858 0.500 0.336
Al7 Al 0.500 0.000 0.500
Al8 Al 0.500 0.500 0.000

=====

Entry 11:
# Al2IrS, optimized geometry, DFT GGA-PBE
# Electronic total energy: -5.798 eV per atom
# Symmetry: C2/m (12)
# Crystal system: monoclinic
data_Al2IrS
_chemical_formula_sum 'Al8 Ir4 S4'
_space_group_name_H-M_alt 'P 1'
_space_group_IT_number 1
_cell_length_a 9.125
_cell_length_b 3.438
_cell_length_c 9.114
_cell_angle_alpha 90.00
_cell_angle_beta 113.41
_cell_angle_gamma 90.00
loop_
_space_group_symop_operation_xyz
'x,y,z'
loop_
_atom_site_label
_atom_site_type_symbol
_atom_site_fract_x
_atom_site_fract_y
_atom_site_fract_z
S1 S 0.616 0.000 0.920
S2 S 0.384 0.000 0.080
S3 S 0.616 0.500 0.420
S4 S 0.384 0.500 0.580
Ir1 Ir 0.149 0.000 0.138
Ir2 Ir 0.851 0.000 0.862
Ir3 Ir 0.149 0.500 0.638
Ir4 Ir 0.851 0.500 0.362
Al1 Al 0.930 0.000 0.620
Al2 Al 0.070 0.000 0.380
Al3 Al 0.930 0.500 0.120
Al4 Al 0.070 0.500 0.880
Al5 Al 0.663 0.000 0.188
Al6 Al 0.337 0.000 0.812
Al7 Al 0.663 0.500 0.688
Al8 Al 0.337 0.500 0.312

=====

Entry 12:
# AlIr2S4, optimized geometry, DFT GGA-PBE
# Electronic total energy: -5.513 eV per atom
# Symmetry: I4/m (87)
# Crystal system: tetragonal
data_AlIr2S4
_chemical_formula_sum 'Al1 Ir2 S4'
_space_group_name_H-M_alt 'P 1'
_space_group_IT_number 1
_cell_length_a 6.062
_cell_length_b 6.062
_cell_length_c 6.062
_cell_angle_alpha 127.14
_cell_angle_beta 101.43
_cell_angle_gamma 101.43
loop_
_space_group_symop_operation_xyz
'x,y,z'
loop_
_atom_site_label
_atom_site_type_symbol
_atom_site_fract_x
_atom_site_fract_y
_atom_site_fract_z
S1 S 0.404 0.618 0.787
S2 S 0.831 0.213 0.618
S3 S 0.169 0.787 0.382
S4 S 0.596 0.382 0.213
Ir1 Ir 0.500 0.250 0.750
Ir2 Ir 0.500 0.750 0.250
Al1 Al 0.000 0.500 0.500

=====

Entry 13:
# Al2IrS, optimized geometry, DFT GGA-PBE
# Electronic total energy: -5.784 eV per atom
# Symmetry: P1 (1)
# Crystal system: triclinic
data_Al2IrS
_chemical_formula_sum 'Al4 Ir2 S2'
_space_group_name_H-M_alt 'P 1'
_space_group_IT_number 1
_cell_length_a 3.458
_cell_length_b 5.633
_cell_length_c 7.913
_cell_angle_alpha 69.68
_cell_angle_beta 77.50
_cell_angle_gamma 89.99
loop_
_space_group_symop_operation_xyz
'x,y,z'
loop_
_atom_site_label
_atom_site_type_symbol
_atom_site_fract_x
_atom_site_fract_y
_atom_site_fract_z
S1 S 0.631 0.439 0.251
S2 S 0.056 0.849 0.394
Ir1 Ir 0.342 0.634 0.824
Ir2 Ir 0.339 0.134 0.830
Al1 Al 0.924 0.966 0.659
Al2 Al 0.932 0.473 0.642
Al3 Al 0.747 0.279 0.016
Al4 Al 0.195 0.732 0.122

=====

Entry 14:
# Al3IrS, optimized geometry, DFT GGA-PBE
# Excess energy over the best structure of this formula in the dataset: 729 meV per atom
# Symmetry: Pm-3m (221)
# Crystal system: cubic
data_Al3IrS
_chemical_formula_sum 'Al3 Ir1 S1'
_space_group_name_H-M_alt 'P 1'
_space_group_IT_number 1
_cell_length_a 4.445
_cell_length_b 4.445
_cell_length_c 4.445
_cell_angle_alpha 90.00
_cell_angle_beta 90.00
_cell_angle_gamma 90.00
loop_
_space_group_symop_operation_xyz
'x,y,z'
loop_
_atom_site_label
_atom_site_type_symbol
_atom_site_fract_x
_atom_site_fract_y
_atom_site_fract_z
S1 S 0.000 0.000 0.000
Ir1 Ir 0.500 0.500 0.500
Al1 Al 0.000 0.500 0.000
Al2 Al 0.000 0.000 0.500
Al3 Al 0.500 0.000 0.000

=====

Entry 15:
# Al2IrSeS, optimized geometry, DFT GGA-PBE
# Electronic total energy: -4.632 eV per atom
# Symmetry: P4/mmm (123)
# Crystal system: tetragonal
data_Al2IrSeS
_chemical_formula_sum 'Al2 Ir1 Se1 S1'
_space_group_name_H-M_alt 'P 1'
_space_group_IT_number 1
_cell_length_a 4.887
_cell_length_b 4.612
_cell_length_c 4.887
_cell_angle_alpha 90.00
_cell_angle_beta 90.00
_cell_angle_gamma 90.00
loop_
_space_group_symop_operation_xyz
'x,y,z'
loop_
_atom_site_label
_atom_site_type_symbol
_atom_site_fract_x
_atom_site_fract_y
_atom_site_fract_z
S1 S 0.500 0.500 0.500
Ir1 Ir 0.000 0.000 0.000
Al1 Al 0.000 0.000 0.500
Al2 Al 0.500 0.000 0.000
Se1 Se 0.000 0.500 0.000

=====

Entry 16:
# SrAl2IrS, optimized geometry, DFT GGA-PBE
# Electronic total energy: -4.925 eV per atom
# Symmetry: P4/mmm (123)
# Crystal system: tetragonal
data_SrAl2IrS
_chemical_formula_sum 'Sr1 Al2 Ir1 S1'
_space_group_name_H-M_alt 'P 1'
_space_group_IT_number 1
_cell_length_a 4.670
_cell_length_b 5.986
_cell_length_c 4.670
_cell_angle_alpha 90.00
_cell_angle_beta 90.00
_cell_angle_gamma 90.00
loop_
_space_group_symop_operation_xyz
'x,y,z'
loop_
_atom_site_label
_atom_site_type_symbol
_atom_site_fract_x
_atom_site_fract_y
_atom_site_fract_z
Sr1 Sr 0.000 0.500 0.000
S1 S 0.500 0.500 0.500
Ir1 Ir 0.000 0.000 0.000
Al1 Al 0.000 0.000 0.500
Al2 Al 0.500 0.000 0.000

=====

Entry 17:
# AlTcIrS2, optimized geometry, DFT GGA-PBE
# Electronic total energy: -4.955 eV per atom
# Symmetry: P4/mmm (123)
# Crystal system: tetragonal
data_AlTcIrS2
_chemical_formula_sum 'Al1 Tc1 Ir1 S2'
_space_group_name_H-M_alt 'P 1'
_space_group_IT_number 1
_cell_length_a 4.350
_cell_length_b 4.888
_cell_length_c 4.350
_cell_angle_alpha 90.00
_cell_angle_beta 90.00
_cell_angle_gamma 90.00
loop_
_space_group_symop_operation_xyz
'x,y,z'
loop_
_atom_site_label
_atom_site_type_symbol
_atom_site_fract_x
_atom_site_fract_y
_atom_site_fract_z
S1 S 0.000 0.000 0.500
S2 S 0.500 0.000 0.000
Ir1 Ir 0.500 0.500 0.500
Tc1 Tc 0.000 0.500 0.000
Al1 Al 0.000 0.000 0.000

=====

Entry 18:
# AlTl2Ir2S6, optimized geometry, DFT GGA-PBE
# Electronic total energy: -5.148 eV per atom
# Symmetry: C2/m (12)
# Crystal system: monoclinic
data_AlTl2Ir2S6
_chemical_formula_sum 'Al1 Tl2 Ir2 S6'
_space_group_name_H-M_alt 'P 1'
_space_group_IT_number 1
_cell_length_a 6.238
_cell_length_b 6.238
_cell_length_c 7.505
_cell_angle_alpha 97.87
_cell_angle_beta 97.87
_cell_angle_gamma 120.02
loop_
_space_group_symop_operation_xyz
'x,y,z'
loop_
_atom_site_label
_atom_site_type_symbol
_atom_site_fract_x
_atom_site_fract_y
_atom_site_fract_z
Al1 Al 0.000 0.000 0.500
Tl1 Tl 0.837 0.163 0.000
Tl2 Tl 0.163 0.837 0.000
Ir1 Ir 0.331 0.669 0.500
Ir2 Ir 0.669 0.331 0.500
S1 S 0.717 0.717 0.666
S2 S 0.058 0.399 0.672
S3 S 0.283 0.283 0.334
S4 S 0.399 0.058 0.672
S5 S 0.942 0.601 0.328
S6 S 0.601 0.942 0.328

=====

Entry 19:
# Al2VIrS, optimized geometry, DFT GGA-PBE
# Electronic total energy: -5.032 eV per atom
# Symmetry: P4/mmm (123)
# Crystal system: tetragonal
data_Al2VIrS
_chemical_formula_sum 'Al2 V1 Ir1 S1'
_space_group_name_H-M_alt 'P 1'
_space_group_IT_number 1
_cell_length_a 4.763
_cell_length_b 4.197
_cell_length_c 4.763
_cell_angle_alpha 90.00
_cell_angle_beta 90.00
_cell_angle_gamma 90.00
loop_
_space_group_symop_operation_xyz
'x,y,z'
loop_
_atom_site_label
_atom_site_type_symbol
_atom_site_fract_x
_atom_site_fract_y
_atom_site_fract_z
S1 S 0.000 0.500 0.000
Ir1 Ir 0.500 0.500 0.500
Al1 Al 0.000 0.000 0.500
Al2 Al 0.500 0.000 0.000
V1 V 0.000 0.000 0.000

=====

Entry 20:
# AlSbIr3, optimized geometry, DFT GGA-PBE
# Excess energy over the best structure of this formula in the dataset: 0 meV per atom
# Symmetry: Pm-3m (221)
# Crystal system: cubic
data_AlSbIr3
_chemical_formula_sum 'Al1 Sb1 Ir3'
_space_group_name_H-M_alt 'P 1'
_space_group_IT_number 1
_cell_length_a 4.543
_cell_length_b 4.543
_cell_length_c 4.543
_cell_angle_alpha 90.00
_cell_angle_beta 90.00
_cell_angle_gamma 90.00
loop_
_space_group_symop_operation_xyz
'x,y,z'
loop_
_atom_site_label
_atom_site_type_symbol
_atom_site_fract_x
_atom_site_fract_y
_atom_site_fract_z
Sb1 Sb 0.500 0.500 0.500
Ir1 Ir 0.000 0.500 0.000
Ir2 Ir 0.000 0.000 0.500
Ir3 Ir 0.500 0.000 0.000
Al1 Al 0.000 0.000 0.000